Record 1
# CuTeI2N GGA-PBE relaxed
# D(E_F), states/eV/atom: 0.505
# E_tot, eV/atom: -2.921
# Raw formation energy, meV/atom: 811.8
data_CuTeI2N
_chemical_formula_sum 'Cu1 Te1 I2 N1'
_cell_length_a 5.779
_cell_length_b 5.779
_cell_length_c 3.698
_cell_angle_alpha 90.00
_cell_angle_beta 90.00
_cell_angle_gamma 90.00
_space_group_name_H-M_alt 'P 4/m m m'
_space_group_IT_number 123
_space_group_name_Hall '-P 4 2'
loop_
_atom_site_label
_atom_site_type_symbol
_atom_site_fract_x
_atom_site_fract_y
_atom_site_fract_z
_atom_site_occupancy
Cu1 Cu 0.000 0.000 0.000 1
Te1 Te 0.500 0.500 0.500 1
I1 I 0.000 0.500 0.000 1
N1 N 0.000 0.000 0.500 1

***

Record 2
# CuTe2IN GGA-PBE relaxed
# D(E_F), states/eV/atom: 1.764
# E_tot, eV/atom: -2.435
# Raw formation energy, meV/atom: 1616.0
data_CuTe2IN
_chemical_formula_sum 'Cu1 Te2 I1 N1'
_cell_length_a 5.119
_cell_length_b 5.119
_cell_length_c 5.137
_cell_angle_alpha 90.00
_cell_angle_beta 90.00
_cell_angle_gamma 90.00
_space_group_name_H-M_alt 'P 4/m m m'
_space_group_IT_number 123
_space_group_name_Hall '-P 4 2'
loop_
_atom_site_label
_atom_site_type_symbol
_atom_site_fract_x
_atom_site_fract_y
_atom_site_fract_z
_atom_site_occupancy
Cu1 Cu 0.000 0.000 0.000 1
Te1 Te 0.000 0.500 0.000 1
I1 I 0.000 0.000 0.500 1
N1 N 0.500 0.500 0.500 1

***

Record 3
# CuTe2IN GGA-PBE relaxed
# D(E_F), states/eV/atom: 0.513
# E_tot, eV/atom: -3.031
# Raw formation energy, meV/atom: 1020.5
data_CuTe2IN
_chemical_formula_sum 'Cu1 Te2 I1 N1'
_cell_length_a 4.689
_cell_length_b 4.689
_cell_length_c 5.111
_cell_angle_alpha 90.00
_cell_angle_beta 90.00
_cell_angle_gamma 90.00
_space_group_name_H-M_alt 'P 4/m m m'
_space_group_IT_number 123
_space_group_name_Hall '-P 4 2'
loop_
_atom_site_label
_atom_site_type_symbol
_atom_site_fract_x
_atom_site_fract_y
_atom_site_fract_z
_atom_site_occupancy
Cu1 Cu 0.000 0.000 0.000 1
Te1 Te 0.000 0.500 0.500 1
I1 I 0.500 0.500 0.000 1
N1 N 0.500 0.500 0.500 1

***

Record 4
# CuTeI2N GGA-PBE relaxed
# D(E_F), states/eV/atom: 2.233
# E_tot, eV/atom: -2.131
# Raw formation energy, meV/atom: 1601.8
data_CuTeI2N
_chemical_formula_sum 'Cu1 Te1 I2 N1'
_cell_length_a 5.223
_cell_length_b 5.223
_cell_length_c 5.184
_cell_angle_alpha 90.00
_cell_angle_beta 90.00
_cell_angle_gamma 90.00
_space_group_name_H-M_alt 'P 4/m m m'
_space_group_IT_number 123
_space_group_name_Hall '-P 4 2'
loop_
_atom_site_label
_atom_site_type_symbol
_atom_site_fract_x
_atom_site_fract_y
_atom_site_fract_z
_atom_site_occupancy
Cu1 Cu 0.000 0.000 0.000 1
Te1 Te 0.000 0.000 0.500 1
I1 I 0.000 0.500 0.000 1
N1 N 0.500 0.500 0.500 1